# GGA-PBE Hg3Se2Br2, relaxed
data_Hg3Se2Br2
_chemical_formula_sum 'Hg24 Se16 Br16'
_symmetry_space_group_name_H-M 'C 1 2/m 1'
_symmetry_Int_Tables_number 12
_cell_length_a 18.496
_cell_length_b 9.639
_cell_length_c 9.942
_cell_angle_alpha 90.00
_cell_angle_beta 90.67
_cell_angle_gamma 90.00
loop_
_symmetry_equiv_pos_as_xyz
'x,y,z'
'-x,-y,-z'
'-x,y,-z'
'x,-y,z'
'x+1/2,y+1/2,z'
'-x+1/2,-y+1/2,-z'
'-x+1/2,y+1/2,-z'
'x+1/2,-y+1/2,z'
loop_
_atom_site_label
_atom_site_fract_x
_atom_site_fract_y
_atom_site_fract_z
Hg1 0.000 0.218 0.000
Hg2 0.032 0.500 0.254
Hg3 0.122 0.239 0.697
Hg4 0.227 0.000 0.295
Hg5 0.250 0.250 0.000
Se1 0.015 0.236 0.256
Se2 0.240 0.262 0.256
Br1 0.120 0.000 0.508
Br2 0.125 0.500 0.999
Br3 0.126 0.000 0.986
Br4 0.126 0.500 0.518
# spin magnetization = 0.00 μB/f.u.
# formation energy (no corrections) = -2.47 eV per formula unit
# E above lowest polymorph = 0 meV per atom
# electronic total energy = -13.69 eV per formula unit

=====

# GGA-PBE HgSe2Br6, relaxed
data_HgSe2Br6
_chemical_formula_sum 'Hg2 Se4 Br12'
_symmetry_space_group_name_H-M 'C 1 2/m 1'
_symmetry_Int_Tables_number 12
_cell_length_a 8.589
_cell_length_b 12.531
_cell_length_c 8.520
_cell_angle_alpha 90.00
_cell_angle_beta 114.39
_cell_angle_gamma 90.00
loop_
_symmetry_equiv_pos_as_xyz
'x,y,z'
'-x,-y,-z'
'-x,y,-z'
'x,-y,z'
'x+1/2,y+1/2,z'
'-x+1/2,-y+1/2,-z'
'-x+1/2,y+1/2,-z'
'x+1/2,-y+1/2,z'
loop_
_atom_site_label
_atom_site_fract_x
_atom_site_fract_y
_atom_site_fract_z
Hg1 0.000 0.000 0.000
Se1 0.000 0.401 0.500
Br1 0.005 0.000 0.716
Br2 0.068 0.362 0.807
# spin magnetization = 0.00 μB/f.u.
# formation energy (no corrections) = -0.84 eV per formula unit
# electronic total energy = -18.15 eV per formula unit

=====

# GGA-PBE HgSe4Br, relaxed
data_HgSe4Br
_chemical_formula_sum 'Hg4 Se16 Br4'
_symmetry_space_group_name_H-M 'F -4 3 m'
_symmetry_Int_Tables_number 216
_symmetry_space_group_name_Hall 'F -4 2 3'
_cell_length_a 8.353
_cell_length_b 8.353
_cell_length_c 8.353
_cell_angle_alpha 90.00
_cell_angle_beta 90.00
_cell_angle_gamma 90.00
loop_
_atom_site_label
_atom_site_fract_x
_atom_site_fract_y
_atom_site_fract_z
Hg1 0.000 0.000 0.000
Se1 0.136 0.136 0.636
Br1 0.250 0.250 0.250
# spin magnetization = 0.00 μB/f.u.
# formation energy (no corrections) = 2.85 eV per formula unit
# electronic total energy = -13.06 eV per formula unit

=====

# GGA-PBE HgSe2Br, relaxed
data_HgSe2Br
_chemical_formula_sum 'Hg2 Se4 Br2'
_symmetry_space_group_name_H-M 'I m m m'
_symmetry_Int_Tables_number 71
_symmetry_space_group_name_Hall '-I 2 2'
_cell_length_a 3.923
_cell_length_b 3.930
_cell_length_c 15.105
_cell_angle_alpha 90.00
_cell_angle_beta 90.00
_cell_angle_gamma 90.00
loop_
_atom_site_label
_atom_site_fract_x
_atom_site_fract_y
_atom_site_fract_z
Hg1 0.000 0.000 0.000
Se1 0.000 0.500 0.252
Br1 0.000 0.000 0.500
# spin magnetization = 0.00 μB/f.u.
# formation energy (no corrections) = 0.36 eV per formula unit
# E above lowest polymorph = 172 meV per atom
# electronic total energy = -8.58 eV per formula unit

=====

> Which value of spin magnetization does entry 3 give?

0.00 μB/f.u.

=====

> Look up the spin magnetization of the fourth one.

0.00 μB/f.u.